[1]
Computed, not measured: an optimized crystal structure of TaZn2Hg at the GGA-PBEsol level of DFT.

For the formation energy from the elements, the calculation gives 0.464 eV per atom. As for the calculated volume: 16.69 Å³ per atom. The crystal system is cubic. The calculation puts the theoretical density at 12.74 Mg/m³. For the density of states at the Fermi level, the calculation gives 16.356 states/eV/cell.

The structure belongs to space group F-43m (No. 216); the cell edges are 6.440, 6.440 and 6.440 Å and the angles 90.00°, 90.00° and 90.00°. The distinct sites, in fractional coordinates, are Ta at (0.000, 0.000, 0.000), Zn at (0.000, 0.000, 0.500), Zn at (0.250, 0.250, 0.750) and Hg at (0.250, 0.250, 0.250).



[2]
Computed, not measured: an optimized crystal structure of TaZnHg3 at the GGA-PBEsol level of DFT.

For the formation energy from the elements, the calculation gives 1.102 eV per atom. As for the calculated volume: 22.02 Å³ per atom. The crystal system is cubic. The calculation puts the theoretical density at 12.79 Mg/m³. For the density of states at the Fermi level, the calculation gives 3.177 states/eV/cell.

The structure belongs to space group Pm-3m (No. 221); the cell edges are 4.793, 4.793 and 4.793 Å and the angles 90.00°, 90.00° and 90.00°. The distinct sites, in fractional coordinates, are Ta at (0.000, 0.000, 0.000), Zn at (0.500, 0.500, 0.500) and Hg at (0.000, 0.500, 0.500).



[3]
Computed, not measured: an optimized crystal structure of ZrTaHg2 at the GGA-PBEsol level of DFT.

For the formation energy from the elements, the calculation gives 0.116 eV per atom. As for the calculated volume: 19.49 Å³ per atom. The crystal system is tetragonal. The calculation puts the theoretical density at 14.34 Mg/m³. For the density of states at the Fermi level, the calculation gives 2.905 states/eV/cell.

The structure belongs to space group P4/mmm (No. 123); the cell edges are 5.074, 5.074 and 3.028 Å and the angles 90.00°, 90.00° and 90.00°. The distinct sites, in fractional coordinates, are Zr at (0.000, 0.000, 0.000), Ta at (0.500, 0.500, 0.000) and Hg at (0.000, 0.500, 0.500).



[4]
Computed, not measured: an optimized crystal structure of ZrTaHg2 at the GGA-PBEsol level of DFT.

For the formation energy from the elements, the calculation gives 0.060 eV per atom. As for the calculated volume: 19.65 Å³ per atom. The crystal system is monoclinic. The calculation puts the theoretical density at 14.23 Mg/m³. For the density of states at the Fermi level, the calculation gives 4.869 states/eV/cell.

The structure belongs to space group Cm (No. 8); the cell edges are 10.973, 3.057 and 5.215 Å and the angles 90.00°, 116.04° and 90.00°. The distinct sites, in fractional coordinates, are Zr at (0.000, 0.000, 0.000), Ta at (0.244, 0.500, 0.111), Hg at (0.243, 0.000, 0.612) and Hg at (0.491, 0.000, 0.499).



[5]
Computed, not measured: an optimized crystal structure of ZrTa3Hg at the GGA-PBEsol level of DFT.

For the formation energy from the elements, the calculation gives 1.972 eV per atom. As for the calculated volume: 24.37 Å³ per atom. The crystal system is cubic. The calculation puts the theoretical density at 11.38 Mg/m³. For the density of states at the Fermi level, the calculation gives 9.836 states/eV/cell.

The structure belongs to space group Pm-3m (No. 221); the cell edges are 4.957, 4.957 and 4.957 Å and the angles 90.00°, 90.00° and 90.00°. The distinct sites, in fractional coordinates, are Zr at (0.000, 0.000, 0.000), Ta at (0.000, 0.500, 0.500) and Hg at (0.500, 0.500, 0.500).



[6]
Computed, not measured: an optimized crystal structure of Tb2TlHg at the GGA-PBEsol level of DFT.

For the formation energy from the elements, the calculation gives -0.501 eV per atom. As for the calculated volume: 25.35 Å³ per atom. The crystal system is cubic. The calculation puts the theoretical density at 11.84 Mg/m³. For the density of states at the Fermi level, the calculation gives 17.768 states/eV/cell.

The structure belongs to space group Fm-3m (No. 225); the cell edges are 7.402, 7.402 and 7.402 Å and the angles 90.00°, 90.00° and 90.00°. The distinct sites, in fractional coordinates, are Tb at (0.250, 0.250, 0.250), Tl at (0.000, 0.000, 0.000) and Hg at (0.000, 0.000, 0.500).



[7]
Computed, not measured: an optimized crystal structure of TbYHg2 at the GGA-PBEsol level of DFT.

For the formation energy from the elements, the calculation gives -0.590 eV per atom. As for the calculated volume: 24.60 Å³ per atom. The crystal system is cubic. The calculation puts the theoretical density at 10.95 Mg/m³. For the density of states at the Fermi level, the calculation gives 17.017 states/eV/cell.

The structure belongs to space group Fm-3m (No. 225); the cell edges are 7.329, 7.329 and 7.329 Å and the angles 90.00°, 90.00° and 90.00°. The distinct sites, in fractional coordinates, are Tb at (0.000, 0.000, 0.000), Y at (0.000, 0.000, 0.500) and Hg at (0.250, 0.250, 0.250).



[8]
Computed, not measured: an optimized crystal structure of Tc4Hg at the GGA-PBEsol level of DFT.

For the formation energy from the elements, the calculation gives 0.304 eV per atom. As for the calculated volume: 14.88 Å³ per atom. The crystal system is tetragonal. The calculation puts the theoretical density at 13.22 Mg/m³. For the density of states at the Fermi level, the calculation gives 8.612 states/eV/cell.

The structure belongs to space group I4/m (No. 87); the cell edges are 6.142, 6.142 and 3.945 Å and the angles 90.00°, 90.00° and 90.00°. The distinct sites, in fractional coordinates, are Tc at (0.082, 0.694, 0.000) and Hg at (0.000, 0.000, 0.500).



[9]
Computed, not measured: an optimized crystal structure of TcHg2 at the GGA-PBEsol level of DFT.

For the formation energy from the elements, the calculation gives 0.588 eV per atom. As for the calculated volume: 18.19 Å³ per atom. The crystal system is tetragonal. The calculation puts the theoretical density at 15.19 Mg/m³. For the density of states at the Fermi level, the calculation gives 4.815 states/eV/cell.

The structure belongs to space group I4/mmm (No. 139); the cell edges are 2.914, 2.914 and 12.851 Å and the angles 90.00°, 90.00° and 90.00°. The distinct sites, in fractional coordinates, are Tc at (0.000, 0.000, 0.000) and Hg at (0.000, 0.000, 0.344).



[10]
Computed, not measured: an optimized crystal structure of Tc2HgTe at the GGA-PBEsol level of DFT.

The calculation puts the uncorrected formation energy at 1.6 eV per formula unit. As for the calculated volume: 18.96 Å³ per atom. The crystal system is trigonal. The calculation puts the theoretical density at 11.48 Mg/m³. For the density of states at the Fermi level, the calculation gives 10.413 states/eV/cell.

The structure belongs to space group R3m (No. 160, hexagonal axes); the cell edges are 2.9598, 2.9598 and 29.9943 Å and the angles 90.00°, 90.00° and 120.00°. The distinct sites, in fractional coordinates, are Tc at (0.0000, 0.0000, 0.0000), Tc at (0.0000, 0.0000, 0.2698), Hg at (0.0000, 0.0000, 0.5225) and Te at (0.0000, 0.0000, 0.7420).



[11]
Computed, not measured: an optimized crystal structure of Tc2HgTe at the GGA-PBEsol level of DFT.

The calculation puts the uncorrected formation energy at 3.2 eV per formula unit. As for the calculated volume: 17.61 Å³ per atom. The crystal system is cubic. The calculation puts the theoretical density at 12.36 Mg/m³. For the density of states at the Fermi level, the calculation gives 14.497 states/eV/cell.

The structure belongs to space group F-43m (No. 216); the cell edges are 6.556, 6.556 and 6.556 Å and the angles 90.00°, 90.00° and 90.00°. The distinct sites, in fractional coordinates, are Tc at (0.000, 0.000, 0.000), Tc at (0.250, 0.250, 0.250), Hg at (0.250, 0.250, 0.750) and Te at (0.000, 0.000, 0.500).



[12]
Computed, not measured: an optimized crystal structure of TcHgTe2 at the GGA-PBEsol level of DFT.

The calculation puts the uncorrected formation energy at 0.2 eV per formula unit. As for the calculated volume: 24.42 Å³ per atom. The crystal system is monoclinic. The calculation puts the theoretical density at 9.41 Mg/m³. For the density of states at the Fermi level, the calculation gives 5.462 states/eV/cell.

The structure belongs to space group C2/m (No. 12); the cell edges are 7.263, 3.303 and 8.190 Å and the angles 90.00°, 96.11° and 90.00°. The distinct sites, in fractional coordinates, are Tc at (0.000, 0.000, 0.000), Hg at (0.000, 0.500, 0.500) and Te at (0.220, 0.500, 0.187).



[13]
Computed, not measured: an optimized crystal structure of Tc2HgTe at the GGA-PBEsol level of DFT.

The calculation puts the uncorrected formation energy at 2.1 eV per formula unit. As for the calculated volume: 17.36 Å³ per atom. The crystal system is trigonal. The calculation puts the theoretical density at 12.53 Mg/m³. For the density of states at the Fermi level, the calculation gives 13.855 states/eV/cell.

The structure belongs to space group R-3m (No. 166, hexagonal axes); the cell edges are 3.0880, 3.0880 and 25.2285 Å and the angles 90.00°, 90.00° and 120.00°. The distinct sites, in fractional coordinates, are Tc at (0.0000, 0.0000, 0.2444), Hg at (0.0000, 0.0000, 0.0000) and Te at (0.0000, 0.0000, 0.5000).



[14]
Computed, not measured: an optimized crystal structure of TcHgTe2 at the GGA-PBEsol level of DFT.

The calculation puts the uncorrected formation energy at 2.7 eV per formula unit. As for the calculated volume: 21.45 Å³ per atom. The crystal system is orthorhombic. The calculation puts the theoretical density at 10.72 Mg/m³. For the density of states at the Fermi level, the calculation gives 4.642 states/eV/cell.

The structure belongs to space group Pmmm (No. 47); the cell edges are 3.413, 4.765 and 5.276 Å and the angles 90.00°, 90.00° and 90.00°. The distinct sites, in fractional coordinates, are Tc at (0.000, 0.000, 0.000), Hg at (0.000, 0.500, 0.500), Te at (0.500, 0.000, 0.500) and Te at (0.500, 0.500, 0.000).



[15]
Computed, not measured: an optimized crystal structure of TcHgTe2 at the GGA-PBEsol level of DFT.

The calculation puts the uncorrected formation energy at 3.4 eV per formula unit. As for the calculated volume: 21.73 Å³ per atom. The crystal system is cubic. The calculation puts the theoretical density at 10.58 Mg/m³. For the density of states at the Fermi level, the calculation gives 15.143 states/eV/cell.

The structure belongs to space group F-43m (No. 216); the cell edges are 7.032, 7.032 and 7.032 Å and the angles 90.00°, 90.00° and 90.00°. The distinct sites, in fractional coordinates, are Tc at (0.000, 0.000, 0.000), Hg at (0.250, 0.250, 0.250), Te at (0.000, 0.000, 0.500) and Te at (0.250, 0.250, 0.750).